Compound: Ti2Ir4Rh
Source: the Alexandria database
Functional: PBE
Structure: optimized geometry

formation enthalpy at 0 K	-0.4029	eV per atom
DFT total energy	-8.772	eV per atom

```
Ti2Ir4Rh
1.0
-5.746 2.100 -4.939
3.742 0.988 -3.933
-3.422 -5.465 1.656
Ti Ir Rh
4 8 2
Cartesian
-4.675 0.460 -6.877
-0.751 -2.837 -0.338
-1.748 -1.295 -4.770
-3.678 -1.082 -2.445
-2.257 1.246 -6.771
-4.169 -2.072 -4.882
-6.532 -2.386 -3.339
-3.633 0.571 -4.379
-1.792 -2.948 -2.837
1.106 0.010 -3.877
-1.256 -0.305 -2.333
-3.168 -3.623 -0.445
3.742 0.988 -3.933
-1.002 1.544 -4.436
```

---

Compound: TcAsRu
Source: the Alexandria database
Functional: PBE
Structure: optimized geometry

formation enthalpy at 0 K	0.1327	eV per atom
DFT total energy	-7.964	eV per atom

```
TcAsRu
1.0
4.567 0.003 0.001
1.935 4.137 -0.001
-2.853 -2.695 2.336
Ru As Tc
1 1 1
Cartesian
2.114 1.346 0.000
6.502 4.140 0.000
4.390 2.795 0.000
```

---

Compound: MgSbPb2
Source: the Alexandria database
Functional: PBE
Structure: optimized geometry

formation energy without anion corrections	-8	meV per atom
DFT total energy	-3.292	eV per atom

```
MgSbPb2
1.0
6.102 0.010 -0.013
2.319 5.644 0.013
-3.800 -3.438 3.313
Mg Pb Sb
1 2 1
Cartesian
1.511 2.615 1.663
0.093 0.063 0.000
3.169 -0.359 1.650
4.057 2.724 0.000
```

---

Compound: LaHoTlCu
Source: the Alexandria database
Functional: PBE
Structure: optimized geometry

formation enthalpy at 0 K	-0.2201	eV per atom
DFT total energy	-4.212	eV per atom

```
LaHoTlCu
1.0
5.318 0.000 0.000
2.659 4.606 0.000
2.659 1.535 4.342
Tl Ho Cu La
1 1 1 1
Cartesian
7.977 4.606 3.257
0.000 0.000 0.000
2.659 1.535 1.086
5.318 3.070 2.171
```

---

Compound: Ba4Au3
Source: the Alexandria database
Functional: PBE
Structure: optimized geometry

formation enthalpy at 0 K	-0.6050	eV per atom
DFT total energy	-3.108	eV per atom

```
Ba4Au3
1.0
5.690 0.000 0.000
2.845 4.928 0.000
2.845 1.643 9.402
Ba Au
4 3
Cartesian
5.690 3.285 8.297
2.845 1.643 5.945
8.535 4.928 3.457
5.690 3.285 1.105
8.535 4.928 6.914
2.845 1.643 2.489
0.000 0.000 0.000
```

---

Compound: Re4IrRh
Source: the Alexandria database
Functional: PBE
Structure: optimized geometry

formation enthalpy at 0 K	-0.0408	eV per atom
DFT total energy	-11.042	eV per atom

```
Re4IrRh
1.0
-3.941 2.644 0.625
-3.933 -2.512 -1.054
-2.203 -2.537 3.409
Re Ir Rh
4 1 1
Cartesian
-2.046 -1.686 0.793
-4.092 -0.779 2.379
-4.090 -3.364 1.562
-5.984 -1.627 0.601
-3.937 0.066 -0.214
0.000 0.000 0.000
```

---

Compound: Pb4Se3S
Source: the Alexandria database
Functional: PBE
Structure: optimized geometry

formation energy without anion corrections	-480	meV per atom
DFT total energy	-4.157	eV per atom

```
Pb4Se3S
1.0
-2.869 4.026 3.734
-6.539 0.835 -5.924
-5.110 -7.848 4.534
Pb Se S
8 6 2
Cartesian
-5.733 0.980 -4.763
-2.818 2.488 1.130
-3.595 -1.381 -0.581
-7.320 0.847 -0.706
-8.179 -2.908 -2.312
-5.186 -1.510 3.480
-9.829 -3.006 1.520
-6.196 -5.376 1.727
-7.118 2.958 -2.901
-5.772 -1.107 -2.623
-5.103 0.515 1.282
-3.756 -3.551 1.560
-7.584 -3.296 3.484
-8.400 -5.144 -0.290
-1.311 0.352 -0.867
-9.508 -1.022 -0.545
```

---

Compound: Y4Re
Source: the Alexandria database
Functional: PBE
Structure: optimized geometry

formation enthalpy at 0 K	0.2780	eV per atom
DFT total energy	-7.383	eV per atom

```
Y4Re
1.0
5.449 0.000 0.000
0.000 5.449 0.000
0.000 0.000 5.449
Y Re
4 1
Cartesian
0.000 0.000 0.000
2.724 0.000 2.724
0.000 2.724 2.724
2.724 2.724 0.000
2.724 2.724 2.724
```

---

Compound: CsAgTe2W
Source: the Alexandria database
Functional: PBE
Structure: optimized geometry

formation energy without anion corrections	2191	meV per atom
DFT total energy	-2.397	eV per atom

```
CsAgTe2W
1.0
-5.447 1.496 -3.177
2.343 -1.622 -4.782
-2.211 -6.017 0.958
Cs Te Ag W
1 2 1 1
Cartesian
0.000 0.000 0.000
-1.105 -3.008 0.479
-2.724 0.748 -1.589
1.172 -0.811 -2.391
-2.657 -3.072 -3.500
```

---

Compound: K2CaFe
Source: the Alexandria database
Functional: PBE
Structure: optimized geometry

formation enthalpy at 0 K	0.8202	eV per atom
DFT total energy	-2.345	eV per atom

```
K2CaFe
1.0
-3.906 -1.397 5.881
-4.212 -5.824 0.375
6.749 1.751 -1.783
Ca Fe K
1 1 2
Cartesian
-0.761 -3.841 0.860
-0.608 -1.628 3.613
0.000 0.000 0.000
-4.059 -3.610 3.128
```

---

Compound: Cd2Ga2Ag
Source: the Alexandria database
Functional: PBE
Structure: optimized geometry

formation enthalpy at 0 K	0.2101	eV per atom
DFT total energy	-1.937	eV per atom

```
Cd2Ga2Ag
1.0
-3.314 -0.914 2.437
2.371 -2.687 2.217
1.105 2.772 6.184
Ga Ag Cd
2 1 2
Cartesian
-0.164 -0.908 3.080
0.326 0.079 7.758
0.000 0.000 0.000
-1.340 0.029 5.474
1.502 -0.858 5.364
```

---

Compound: AgIrOs2
Source: the Alexandria database
Functional: PBE
Structure: optimized geometry

formation enthalpy at 0 K	0.6440	eV per atom
DFT total energy	-7.899	eV per atom

```
AgIrOs2
1.0
4.864 -0.009 -0.006
-3.069 5.291 0.014
0.005 1.397 2.337
Ir Os Ag
1 2 1
Cartesian
2.435 0.694 1.165
0.000 0.000 0.000
-1.532 3.344 1.175
0.898 2.641 0.004
```

---

Number 1: DOS at the Fermi energy 10.65 states/eV/cell. Number 2: DOS at the Fermi energy 2.67 states/eV/cell. Number 3: DOS at the Fermi energy 2.05 states/eV/cell. Number 4: DOS at the Fermi energy 3.59 states/eV/cell. Number 5: DOS at the Fermi energy 5.17 states/eV/cell. Number 6: DOS at the Fermi energy 6.18 states/eV/cell. Number 7: DOS at the Fermi energy 0.00 states/eV/cell. Number 8: DOS at the Fermi energy 6.56 states/eV/cell. Number 9: DOS at the Fermi energy 5.91 states/eV/cell. Number 10: DOS at the Fermi energy 7.42 states/eV/cell. Number 11: DOS at the Fermi energy 1.85 states/eV/cell. Number 12: DOS at the Fermi energy 5.51 states/eV/cell.